A plane-wave DFT calculation with PBE-GGA was carried out for crystalline CrPt3 at its relaxed geometry.

Values from the calculation:
calculated formation energy	-0.2019	eV per atom

abc: 2.725 2.725 7.878
angles: 90.00 90.00 90.01
Atoms (fractional coordinates):
Cr 0.000 0.000 0.000
Pt 0.000 0.000 0.500
Pt 0.500 0.500 0.228
Pt 0.500 0.500 0.772


A plane-wave DFT calculation with PBE-GGA was carried out for crystalline Cr5Pt3 at its relaxed geometry.

Values from the calculation:
calculated formation energy	-0.2040	eV per atom
offset from the most stable computed form	0.0000	eV/atom

abc: 5.380 5.380 3.887
angles: 90.00 90.00 87.61
Atoms (fractional coordinates):
Cr 0.000 0.000 0.000
Cr 0.500 0.000 0.000
Cr 0.000 0.500 0.000
Cr 0.739 0.739 0.500
Cr 0.261 0.261 0.500
Pt 0.500 0.500 0.000
Pt 0.763 0.237 0.500
Pt 0.237 0.763 0.500


A plane-wave DFT calculation with PBE-GGA was carried out for crystalline CrPt at its relaxed geometry.

Values from the calculation:
calculated formation energy	-0.0166	eV per atom

abc: 2.778 2.778 8.365
angles: 90.00 90.00 120.00
Atoms (fractional coordinates):
Cr 0.000 0.000 0.029
Cr 0.333 0.667 0.221
Pt 0.000 0.000 0.478
Pt 0.333 0.667 0.772


A plane-wave DFT calculation with PBE-GGA was carried out for crystalline Cr2Pt3 at its relaxed geometry.

Values from the calculation:
calculated formation energy	-0.1017	eV per atom
offset from the most stable computed form	0.0000	eV/atom

abc: 8.048 7.029 5.242
angles: 80.54 59.49 39.98
Atoms (fractional coordinates):
Cr 0.353 0.548 0.199
Cr 0.900 0.199 0.548
Cr 0.702 0.897 0.350
Cr 0.051 0.350 0.897
Pt 0.350 0.445 0.733
Pt 0.473 0.733 0.445
Pt 0.805 0.900 0.777
Pt 0.517 0.777 0.900
Pt 0.925 0.075 0.075
Pt 0.175 0.325 0.325


A plane-wave DFT calculation with PBE-GGA was carried out for crystalline Cr3Pt at its relaxed geometry.

Values from the calculation:
calculated formation energy	0.0645	eV per atom

abc: 5.024 5.024 5.024
angles: 150.28 124.93 63.83
Atoms (fractional coordinates):
Cr 0.745 0.751 0.994
Cr 0.242 0.249 0.994
Cr 0.178 0.500 0.678
Pt 0.669 0.000 0.669


A plane-wave DFT calculation with PBE-GGA was carried out for crystalline CrPt at its relaxed geometry.

Values from the calculation:
calculated formation energy	-0.1470	eV per atom

abc: 2.676 2.676 3.837
angles: 90.00 90.00 90.00
Atoms (fractional coordinates):
Cr 0.500 0.500 0.500
Pt 0.000 0.000 0.000


A plane-wave DFT calculation with PBE-GGA was carried out for crystalline CrPt3 at its relaxed geometry.

Values from the calculation:
calculated formation energy	-0.1027	eV per atom

abc: 4.733 5.345 2.794
angles: 74.85 90.00 116.28
Atoms (fractional coordinates):
Cr 0.985 0.000 0.000
Pt 0.091 0.477 0.262
Pt 0.475 0.000 0.500
Pt 0.615 0.523 0.738


A plane-wave DFT calculation with PBE-GGA was carried out for crystalline Cr5Pt at its relaxed geometry.

Values from the calculation:
calculated formation energy	0.2005	eV per atom
offset from the most stable computed form	0.1964	eV/atom

abc: 7.136 7.136 4.293
angles: 90.00 90.00 159.87
Atoms (fractional coordinates):
Cr 0.002 0.998 0.000
Cr 0.339 0.661 0.000
Cr 0.674 0.326 0.000
Cr 0.437 0.563 0.500
Cr 0.773 0.227 0.500
Pt 0.108 0.892 0.500


A plane-wave DFT calculation with PBE-GGA was carried out for crystalline CrPt at its relaxed geometry.

Values from the calculation:
calculated formation energy	0.6117	eV per atom

abc: 7.818 7.818 2.574
angles: 90.00 90.00 90.00
Atoms (fractional coordinates):
Cr 0.370 0.630 0.000
Cr 0.870 0.870 0.500
Cr 0.130 0.130 0.500
Cr 0.630 0.370 0.000
Pt 0.327 0.327 0.000
Pt 0.827 0.173 0.500
Pt 0.173 0.827 0.500
Pt 0.673 0.673 0.000


A plane-wave DFT calculation with PBE-GGA was carried out for crystalline Cr5Pt at its relaxed geometry.

Values from the calculation:
calculated formation energy	0.0508	eV per atom
offset from the most stable computed form	0.0467	eV/atom

abc: 4.717 4.717 4.717
angles: 60.00 60.00 60.00
Atoms (fractional coordinates):
Cr 0.624 0.624 0.129
Cr 0.250 0.250 0.250
Cr 0.624 0.624 0.624
Cr 0.129 0.624 0.624
Cr 0.624 0.129 0.624
Pt 0.000 0.000 0.000


A plane-wave DFT calculation with PBE-GGA was carried out for crystalline CrPt3 at its relaxed geometry.

Values from the calculation:
calculated formation energy	-0.2767	eV per atom

abc: 3.918 3.918 3.918
angles: 90.00 90.00 90.00
Atoms (fractional coordinates):
Cr 0.500 0.000 0.583
Pt 0.000 0.000 0.083
Pt 0.000 0.500 0.583
Pt 0.500 0.500 0.083


A plane-wave DFT calculation with PBE-GGA was carried out for crystalline Cr7Pt at its relaxed geometry.

Values from the calculation:
calculated formation energy	0.2062	eV per atom

abc: 5.188 5.188 5.188
angles: 60.00 60.00 60.00
Atoms (fractional coordinates):
Cr 0.500 0.000 0.000
Cr 0.000 0.000 0.500
Cr 0.500 0.000 0.500
Cr 0.000 0.500 0.000
Cr 0.500 0.500 0.000
Cr 0.000 0.500 0.500
Cr 0.500 0.500 0.500
Pt 0.000 0.000 0.000